A relaxed YPdAu crystal, computed with PBE.

Results
Total magnetic moment in μB/cell: 0.00
E_tot in eV/atom: -5.73
Space-group type: No. 187
Formation energy in eV/atom: -0.747

Cell lengths 4.6506, 4.6506, 3.3948 Å; angles 90.00, 90.00, 120.00 degrees
Last column: nearest neighbours and their distance in Å.
Element x y z (fractional)
Y 0.0000 0.0000 0.0000  6 Pd 3.18, 6 Au 3.18, 2 Y 3.39
Pd 0.6667 0.3333 0.5000  3 Au 2.69
Au 0.3333 0.6667 0.5000  3 Pd 2.69